# 1
## BaCo2Te (SCAN)

Data for a crystal of BaCo2Te relaxed with PBEsol.

Output
Density (g/cm³): 7.4
Crystal system: trigonal
Fermi-level density of states (states/eV per cell): 9.60
VASP energy (eV/atom): -27.83
Formation energy from raw total energies (eV per atom): 0.022

abc: 4.2473 4.2473 16.5897
angles: 90.00 90.00 120.00
Space group R-3m (No. 166, hexagonal axes)
Inequivalent atoms, fractional coordinates:
Ba1 0.0000 0.0000 0.0000
Co1 0.0000 0.0000 0.1884
Te1 0.0000 0.0000 0.5000

---

# 2
## AsPtWSe2 (SCAN)

Data for a crystal of AsPtWSe2 relaxed with PBEsol.

Output
Density (g/cm³): 9.3
Crystal system: tetragonal
Fermi-level density of states (states/eV per cell): 5.17
VASP energy (eV/atom): -39.06
Formation energy from raw total energies (eV per atom): 0.982

abc: 4.736 4.736 4.896
angles: 90.00 90.00 90.00
Space group P4/mmm (No. 123)
Inequivalent atoms, fractional coordinates:
As1 0.000 0.000 0.000
Pt1 0.500 0.500 0.000
W1 0.000 0.000 0.500
Se1 0.000 0.500 0.500

---

# 3
## Tl2AgIr (SCAN)

Data for a crystal of Tl2AgIr relaxed with PBEsol.

Output
Formation energy from the elements (meV per atom): 354
Density (g/cm³): 14.2
Crystal system: orthorhombic
Fermi-level density of states (states/eV per cell): 3.43
VASP energy (eV/atom): -61.44

abc: 3.001 4.565 12.098
angles: 90.00 90.00 90.00
Space group Imm2 (No. 44)
Inequivalent atoms, fractional coordinates:
Tl1 0.000 0.000 0.000
Tl2 0.000 0.500 0.215
Ag1 0.000 0.500 0.816
Ir1 0.000 0.000 0.513

---

# 4
## YClF2 (SCAN)

Data for a crystal of YClF2 relaxed with PBEsol.

Output
Density (g/cm³): 3.6
Crystal system: tetragonal
Fermi-level density of states (states/eV per cell): 0.00
VASP energy (eV/atom): -14.16
Formation energy from raw total energies (eV per atom): -3.436

abc: 4.641 4.641 14.015
angles: 90.00 90.00 90.00
Space group I-42d (No. 122)
Inequivalent atoms, fractional coordinates:
Y1 0.000 0.000 0.000
Cl1 0.000 0.000 0.500
F1 0.054 0.250 0.125

---

# 5
## V2O3F3 (SCAN)

Data for a crystal of V2O3F3 relaxed with PBEsol.

Output
Density (g/cm³): 3.5
Crystal system: monoclinic
Fermi-level density of states (states/eV per cell): 9.29
VASP energy (eV/atom): -10.78
Formation energy from raw total energies (eV per atom): -2.739

abc: 8.794 5.283 8.862
angles: 90.00 105.69 90.00
Space group C2 (No. 5)
Inequivalent atoms, fractional coordinates:
V1 0.115 0.000 0.368
V2 0.119 0.547 0.866
O1 0.000 0.077 0.500
O2 0.000 0.571 0.000
O3 0.022 0.785 0.742
O4 0.250 0.470 0.750
F1 0.023 0.287 0.242
F2 0.224 0.755 0.509
F3 0.226 0.256 0.008

---

# 6
## U2As3Se (SCAN)

Data for a crystal of U2As3Se relaxed with PBEsol.

Output
Density (g/cm³): 10.5
Crystal system: tetragonal
Fermi-level density of states (states/eV per cell): 10.60
VASP energy (eV/atom): -48.72
Formation energy from raw total energies (eV per atom): -0.769

abc: 3.910 3.910 8.030
angles: 90.00 90.00 90.00
Space group P4mm (No. 99)
Inequivalent atoms, fractional coordinates:
U1 0.000 0.000 0.000
U2 0.500 0.500 0.437
As1 0.000 0.500 0.720
As2 0.500 0.500 0.076
Se1 0.000 0.000 0.359

---

# 7
## Be2SbW (SCAN)

Data for a crystal of Be2SbW relaxed with PBEsol.

Output
Density (g/cm³): 9.5
Crystal system: tetragonal
Fermi-level density of states (states/eV per cell): 1.60
VASP energy (eV/atom): -28.46
Formation energy from raw total energies (eV per atom): 0.451

abc: 3.320 3.320 5.113
angles: 90.00 90.00 90.00
Space group P4mm (No. 99)
Inequivalent atoms, fractional coordinates:
Be1 0.000 0.000 0.000
Be2 0.500 0.500 0.223
Sb1 0.000 0.000 0.486
W1 0.500 0.500 0.763

---

# 8
## Mg2InAu (SCAN)

Data for a crystal of Mg2InAu relaxed with PBEsol.

Output
Formation energy from the elements (meV per atom): -438
Density (g/cm³): 7.7
Crystal system: tetragonal
Fermi-level density of states (states/eV per cell): 2.61
VASP energy (eV/atom): -28.56

abc: 4.390 4.390 8.046
angles: 90.00 90.00 90.00
Space group I4/mmm (No. 139)
Inequivalent atoms, fractional coordinates:
Mg1 0.000 0.500 0.250
In1 0.000 0.000 0.000
Au1 0.000 0.000 0.500

---

Question: The highest density belongs to which entry?
Answer: Tl2AgIr